# YTa2Sb PBE optimized geometry
data_YTa2Sb
_cell_length_a 3.1837
_cell_length_b 3.1837
_cell_length_c 9.1155
_cell_angle_alpha 90.00
_cell_angle_beta 90.00
_cell_angle_gamma 106.49
_space_group_name_H-M_alt 'P 1'
_space_group_IT_number 1
_space_group_name_Hall 'P 1'
loop_
_atom_site_label
_atom_site_fract_x
_atom_site_fract_y
_atom_site_fract_z
Ta1 0.5000 0.5000 0.2252
Y1 0.0000 0.0000 0.4938
Sb1 0.5000 0.5000 0.7738
Ta2 0.0000 0.0000 0.0072
# space group: Cmm2, No. 35
# size of the total moment: 0.00 μB per cell
# energy relative to the elements, uncorrected: 0.35 eV per formula unit
# final energy: -8.4862 eV per atom

# Ac3Pd2Pb3 PBE optimized geometry
data_Ac3Pd2Pb3
_cell_length_a 4.8811
_cell_length_b 6.3786
_cell_length_c 16.7680
_cell_angle_alpha 90.00
_cell_angle_beta 90.00
_cell_angle_gamma 112.50
_space_group_name_H-M_alt 'P 1'
_space_group_IT_number 1
_space_group_name_Hall 'P 1'
loop_
_atom_site_label
_atom_site_fract_x
_atom_site_fract_y
_atom_site_fract_z
Pd1 0.8085 0.6171 0.8897
Pb1 0.3743 0.7486 0.5364
Ac1 0.0925 0.1850 0.6070
Pb2 0.3743 0.7486 0.9636
Pd2 0.1915 0.3829 0.1103
Pd3 0.8085 0.6171 0.6103
Ac2 0.9075 0.8150 0.3930
Ac3 0.6326 0.2653 0.2500
Pb3 0.3392 0.6785 0.2500
Ac4 0.9075 0.8150 0.1070
Pb4 0.6257 0.2514 0.0364
Ac5 0.0925 0.1850 0.8930
Pd4 0.1915 0.3829 0.3897
Pb5 0.6608 0.3215 0.7500
Pb6 0.6257 0.2514 0.4636
Ac6 0.3674 0.7347 0.7500
# excess energy over the best structure of this formula in the dataset: 0.00 eV per formula unit
# space group: Cmcm, No. 63
# size of the total moment: 0.00 μB per cell
# energy of formation: -0.644 eV per atom
# final energy: -4.8739 eV per atom

# RbLi2BiO PBE optimized geometry
data_RbLi2BiO
_cell_length_a 4.8956
_cell_length_b 6.5079
_cell_length_c 4.8956
_cell_angle_alpha 90.00
_cell_angle_beta 90.00
_cell_angle_gamma 90.00
_space_group_name_H-M_alt 'P 1'
_space_group_IT_number 1
_space_group_name_Hall 'P 1'
loop_
_atom_site_label
_atom_site_fract_x
_atom_site_fract_y
_atom_site_fract_z
Rb1 0.0000 0.0000 0.0000
Li1 0.5000 0.0000 0.0000
Bi1 0.0000 0.5000 0.0000
Li2 0.0000 0.0000 0.5000
O1 0.5000 0.5000 0.5000
# space group: P4/mmm, No. 123
# size of the total moment: 0.00 μB per cell
# energy relative to the elements, uncorrected: 6.18 eV per formula unit
# final energy: -1.4919 eV per atom

# CrInIrAu2 PBE optimized geometry
data_CrInIrAu2
_cell_length_a 4.9923
_cell_length_b 4.4922
_cell_length_c 4.9923
_cell_angle_alpha 90.00
_cell_angle_beta 90.00
_cell_angle_gamma 90.00
_space_group_name_H-M_alt 'P 1'
_space_group_IT_number 1
_space_group_name_Hall 'P 1'
loop_
_atom_site_label
_atom_site_fract_x
_atom_site_fract_y
_atom_site_fract_z
Cr1 0.0000 0.0000 0.0000
In1 0.5000 0.5000 0.5000
Au1 0.5000 0.0000 0.0000
Au2 0.0000 0.0000 0.5000
Ir1 0.0000 0.5000 0.0000
# space group: P4/mmm, No. 123
# size of the total moment: 2.76 μB per cell
# energy of formation: 0.852 eV per atom
# final energy: -4.7038 eV per atom

# Pm2Ni5B3 PBE optimized geometry
data_Pm2Ni5B3
_cell_length_a 5.1622
_cell_length_b 7.6691
_cell_length_c 7.6691
_cell_angle_alpha 70.67
_cell_angle_beta 70.33
_cell_angle_gamma 70.33
_space_group_name_H-M_alt 'P 1'
_space_group_IT_number 1
_space_group_name_Hall 'P 1'
loop_
_atom_site_label
_atom_site_fract_x
_atom_site_fract_y
_atom_site_fract_z
Pm1 0.3752 0.8892 0.3605
Ni1 0.4649 0.2851 0.2851
B1 0.2500 0.0000 0.0000
Ni2 0.2500 0.5000 0.5000
B2 0.1116 0.2668 0.5100
Pm2 0.6248 0.1108 0.6395
Ni3 0.3867 0.2170 0.0096
Ni4 0.8867 0.0096 0.2170
Ni5 0.6133 0.7830 0.9903
B3 0.8884 0.7332 0.4900
B4 0.3884 0.4900 0.7332
Pm3 0.1248 0.6395 0.1108
Ni6 0.7500 0.5000 0.5000
Ni7 0.5351 0.7149 0.7149
Ni8 0.9649 0.2851 0.2851
B5 0.6116 0.5100 0.2668
Pm4 0.8752 0.3605 0.8892
Ni9 0.1133 0.9904 0.7830
Ni10 0.0351 0.7149 0.7149
B6 0.7500 0.0000 0.0000
# space group: Ibam, No. 72
# size of the total moment: 0.00 μB per cell
# energy of formation: -0.328 eV per atom
# final energy: -6.1725 eV per atom

# CaMoRhBr2 PBE optimized geometry
data_CaMoRhBr2
_cell_length_a 4.8344
_cell_length_b 6.3826
_cell_length_c 4.8344
_cell_angle_alpha 90.00
_cell_angle_beta 90.00
_cell_angle_gamma 90.00
_space_group_name_H-M_alt 'P 1'
_space_group_IT_number 1
_space_group_name_Hall 'P 1'
loop_
_atom_site_label
_atom_site_fract_x
_atom_site_fract_y
_atom_site_fract_z
Mo1 0.0000 0.0000 0.0000
Ca1 0.0000 0.5000 0.0000
Br1 0.5000 0.0000 0.0000
Rh1 0.5000 0.5000 0.5000
Br2 0.0000 0.0000 0.5000
# space group: P4/mmm, No. 123
# size of the total moment: 1.95 μB per cell
# energy relative to the elements, uncorrected: 3.97 eV per formula unit
# final energy: -3.9128 eV per atom

# TaIrSe PBE optimized geometry
data_TaIrSe
_cell_length_a 3.5265
_cell_length_b 3.5265
_cell_length_c 5.5595
_cell_angle_alpha 90.00
_cell_angle_beta 90.00
_cell_angle_gamma 120.00
_space_group_name_H-M_alt 'P 1'
_space_group_IT_number 1
_space_group_name_Hall 'P 1'
loop_
_atom_site_label
_atom_site_fract_x
_atom_site_fract_y
_atom_site_fract_z
Se1 0.6667 0.3333 0.3577
Ir1 0.0000 0.0000 0.9532
Ta1 0.3333 0.6667 0.6892
# excess energy over the best structure of this formula in the dataset: 0.00 eV per formula unit
# space group: P3m1, No. 156
# size of the total moment: 0.00 μB per cell
# energy relative to the elements, uncorrected: -0.73 eV per formula unit
# final energy: -8.3091 eV per atom

# Cs2Hg8Au3 PBE optimized geometry
data_Cs2Hg8Au3
_cell_length_a 5.4188
_cell_length_b 7.8485
_cell_length_c 10.5261
_cell_angle_alpha 111.89
_cell_angle_beta 97.72
_cell_angle_gamma 90.00
_space_group_name_H-M_alt 'P 1'
_space_group_IT_number 1
_space_group_name_Hall 'P 1'
loop_
_atom_site_label
_atom_site_fract_x
_atom_site_fract_y
_atom_site_fract_z
Hg1 0.8073 0.3125 0.6250
Hg2 0.7006 0.8414 0.2262
Cs1 0.7627 0.8190 0.6380
Hg3 0.2994 0.1586 0.7738
Hg4 0.2994 0.6152 0.7738
Au1 0.5000 0.0000 0.0000
Au2 0.0000 0.1738 0.0000
Hg5 0.7367 0.4650 0.9301
Hg6 0.2633 0.5350 0.0699
Cs2 0.2373 0.1810 0.3620
Au3 0.0000 0.8262 0.0000
Hg7 0.1927 0.6875 0.3750
Hg8 0.7006 0.3848 0.2262
# space group: C2/m, No. 12
# size of the total moment: 0.00 μB per cell
# energy of formation: -0.123 eV per atom
# final energy: -1.1961 eV per atom

# NaTi4O8 PBE optimized geometry
data_NaTi4O8
_cell_length_a 6.0676
_cell_length_b 7.1280
_cell_length_c 10.3623
_cell_angle_alpha 101.05
_cell_angle_beta 91.61
_cell_angle_gamma 94.60
_space_group_name_H-M_alt 'P 1'
_space_group_IT_number 1
_space_group_name_Hall 'P 1'
loop_
_atom_site_label
_atom_site_fract_x
_atom_site_fract_y
_atom_site_fract_z
Ti1 0.7830 0.2977 0.2952
Ti2 0.4936 0.0192 0.5052
Ti3 0.7344 0.0284 0.7625
O1 0.9816 0.8570 0.1500
O2 0.9580 0.5432 0.2739
O3 0.5216 0.1423 0.3499
Na1 0.0207 0.4228 0.0649
O4 0.7773 0.1815 0.1036
Ti4 0.0172 0.2967 0.5381
O5 0.7315 0.8522 0.8921
Ti5 0.7317 0.7051 0.2063
Ti6 0.2311 0.7069 0.7048
O6 0.3135 0.4518 0.9740
O7 0.2865 0.1855 0.6044
O8 0.4841 0.8561 0.6487
O9 0.7692 0.1436 0.6019
O10 0.9778 0.8179 0.6444
O11 0.2129 0.8124 0.8970
O12 0.5477 0.4541 0.2216
O13 0.0405 0.1815 0.3514
Ti7 0.5194 0.2972 0.0517
O14 0.7135 0.5493 0.0211
O15 0.7874 0.4573 0.4779
O16 0.4683 0.8158 0.1452
Ti8 0.2552 0.9964 0.2490
Ti9 0.0117 0.9740 0.9898
O17 0.2378 0.8552 0.4015
Ti10 0.2562 0.3120 0.7897
O18 0.2660 0.1395 0.0975
Na2 0.4601 0.5674 0.4177
O19 0.4388 0.5473 0.7741
Ti11 0.9778 0.7014 0.4528
O20 0.0385 0.4498 0.7320
O21 0.1905 0.5419 0.5306
Na3 0.7412 0.5814 0.6941
Ti12 0.4914 0.6889 0.9605
O22 0.7188 0.8143 0.3964
O23 0.5376 0.1859 0.8530
O24 0.0182 0.1449 0.8575
# excess energy over the best structure of this formula in the dataset: 0.67 eV per formula unit
# space group: P1, No. 1
# size of the total moment: 3.20 μB per cell
# energy relative to the elements, uncorrected: -36.70 eV per formula unit
# final energy: -8.4047 eV per atom

# LaIrS2N PBE optimized geometry
data_LaIrS2N
_cell_length_a 4.9470
_cell_length_b 4.9470
_cell_length_c 3.7569
_cell_angle_alpha 90.00
_cell_angle_beta 90.00
_cell_angle_gamma 90.00
_space_group_name_H-M_alt 'P 1'
_space_group_IT_number 1
_space_group_name_Hall 'P 1'
loop_
_atom_site_label
_atom_site_fract_x
_atom_site_fract_y
_atom_site_fract_z
S1 0.5000 0.0000 0.0000
S2 0.0000 0.5000 0.0000
La1 0.5000 0.5000 0.5000
N1 0.0000 0.0000 0.5000
Ir1 0.0000 0.0000 0.0000
# excess energy over the best structure of this formula in the dataset: 0.00 eV per formula unit
# space group: P4/mmm, No. 123
# size of the total moment: 0.00 μB per cell
# energy relative to the elements, uncorrected: -3.64 eV per formula unit
# final energy: -6.8015 eV per atom